DyZr5: relaxed, PBE.

Summary:
calculated total energy = -93.2 eV per cell
crystal system = orthorhombic
volume = 24.1 A^3/atom

CIF file:
```
data_DyZr5
_cell_length_a 5.457
_cell_length_b 16.304
_cell_length_c 3.245
_cell_angle_alpha 90.00
_cell_angle_beta 90.00
_cell_angle_gamma 90.00
_symmetry_space_group_name_H-M 'C m m m'
_symmetry_Int_Tables_number 65
_symmetry_space_group_name_Hall '-C 2 2'
loop_
_atom_site_label
_atom_site_fract_x
_atom_site_fract_y
_atom_site_fract_z
Dy1 0.000 0.000 0.000
Zr1 0.000 0.177 0.500
Zr2 0.000 0.337 0.000
Zr3 0.000 0.500 0.500
```